# Co2BiAu

A relaxed structure of Co2BiAu (GGA-PBE, OQMD via LeMat-Bulk).

## Properties
The value obtained for the magnetization is 0.0 μB per cell. The value obtained for the total energy is -4.707 eV per atom.

a b c (Å): 4.579 4.579 4.579
angles (deg): 60.00 60.00 60.00
Element x y z (fractional)
Bi 0.500 0.500 0.500
Au 0.250 0.250 0.250
Co 0.000 0.000 0.000
Co 0.750 0.750 0.750